First-principles (PBE) data for a relaxed Cu7Ag3 crystal, as listed in OQMD.

Space group   R-3m (166)
Energy relative to the elements   0.108 eV per atom
Energy above the lowest structure with this stoichiometry   0.063 eV/atom

Cell lengths 21.327, 21.327, 21.327 Å; angles 7.36, 7.36, 7.36 degrees
Atoms (fractional coordinates):
1 Cu 0.000 0.000 0.000
2 Cu 0.201 0.201 0.201
3 Cu 0.302 0.302 0.302
4 Cu 0.395 0.395 0.395
5 Cu 0.605 0.605 0.605
6 Cu 0.698 0.698 0.698
7 Cu 0.799 0.799 0.799
8 Ag 0.097 0.097 0.097
9 Ag 0.500 0.500 0.500
10 Ag 0.903 0.903 0.903